[1]
Density functional theory data (PBE) for UTl3Ni2S6 after structural relaxation.

Calculated values
**Density of states at the Fermi level**: 0.81 states/eV/atom
**Formation energy from raw total energies**: -0.56 eV/atom

Lattice parameters (Å, degrees): 6.0511 6.0511 8.3444 97.04 97.04 119.99
With the nearest neighbours (Å) after each atom.
Positions (direct):
U1 0.0000 0.0000 0.0000  6 S 2.59
Tl1 0.1654 0.8346 0.5000  6 S 3.24-3.41, 6 Tl 3.47-3.51
Tl2 0.5000 0.5000 0.5000  6 S 3.25-3.40, 6 Tl 3.49-3.51
Tl3 0.8346 0.1654 0.5000  6 S 3.24-3.41, 6 Tl 3.47-3.51
Ni1 0.3336 0.6664 0.0000  6 S 2.37-2.38
Ni2 0.6664 0.3336 0.0000  6 S 2.37-2.38
S1 0.0570 0.4199 0.1709  2 Ni 2.38, 1 U 2.59
S2 0.3055 0.3055 0.8297  2 Ni 2.37, 1 U 2.59
S3 0.4199 0.0570 0.1709  2 Ni 2.38, 1 U 2.59
S4 0.5801 0.9430 0.8291  2 Ni 2.38, 1 U 2.59
S5 0.6945 0.6945 0.1703  2 Ni 2.37, 1 U 2.59
S6 0.9430 0.5801 0.8291  2 Ni 2.38, 1 U 2.59



[2]
Density functional theory data (PBE) for AlAg4Ru after structural relaxation.

Calculated values
**Density of states at the Fermi level**: 0.75 states/eV/atom
**E_form**: 540 meV per atom

Lattice parameters (Å, degrees): 5.3285 5.3285 5.3285 60.00 60.00 60.00
With the nearest neighbours (Å) after each atom.
Positions (direct):
Al1 0.0000 0.0000 0.0000  12 Ag 3.12, 4 Ru 3.26
Ag1 0.1253 0.6249 0.6249  6 Ag 2.66-2.67
Ag2 0.6249 0.1253 0.6249  6 Ag 2.66-2.67
Ag3 0.6249 0.6249 0.1253  6 Ag 2.66-2.67
Ag4 0.6249 0.6249 0.6249  6 Ag 2.66-2.67
Ru1 0.2500 0.2500 0.2500  12 Ag 3.12, 4 Al 3.26